(1)
{"formula": "FeTePb2", "functional": "PBE", "state": "optimized geometry", "lattice_angstrom": [[-5.8978, -2.3939, 0.4525], [1.1032, -3.6809, -5.0944], [-0.0246, -8.0951, 1.8472]], "species": ["Te", "Te", "Pb", "Fe", "Fe", "Pb", "Pb", "Pb"], "fractional_positions": [[0.0000, 0.0000, 0.0000], [0.7500, 0.2500, 0.5000], [0.8750, 0.8073, 0.7500], [0.2500, 0.7500, 0.5000], [0.5000, 0.5000, 0.0000], [0.5573, 0.1250, 0.2500], [0.3750, 0.4427, 0.7500], [0.1927, 0.6250, 0.2500]], "sg": "I-42d", "e_form_raw_ev_per_atom": 0.50}



(2)
{"formula": "Pu2HfNi9", "functional": "PBE", "state": "optimized geometry", "lattice_angstrom": [[-1.4285, 2.1887, 4.0821], [2.5371, -0.5986, 4.0865], [4.9324, 7.0188, 0.8406]], "species": ["Pu", "Ni", "Hf", "Pu", "Ni", "Ni", "Ni", "Ni", "Ni", "Ni", "Ni", "Ni"], "fractional_positions": [[0.1409, 0.1409, 0.5774], [0.4189, 0.9194, 0.2428], [0.0000, 0.0000, 0.0000], [0.8591, 0.8591, 0.4226], [0.6669, 0.6669, 0.9994], [0.5811, 0.5811, 0.7572], [0.5811, 0.0806, 0.7572], [0.5000, 0.5000, 0.5000], [0.0806, 0.5811, 0.7572], [0.4189, 0.4189, 0.2428], [0.3331, 0.3331, 0.0006], [0.9194, 0.4189, 0.2428]], "e_form_mev_per_atom": -280, "sg": "R-3m"}



(3)
{"formula": "RbLaS2", "functional": "PBE", "state": "optimized geometry", "lattice_angstrom": [[0.7079, 1.4678, 9.1974], [2.6456, -2.4297, 8.6224], [4.8848, 1.2690, 7.8598]], "species": ["S", "Rb", "S", "La"], "fractional_positions": [[0.8870, 0.8870, 0.8870], [0.0000, 0.0000, 0.0000], [0.1130, 0.1130, 0.1130], [0.5000, 0.5000, 0.5000]], "sg": "R-3m", "e_form_raw_ev_per_atom": -1.64}



(4)
{"formula": "EuTlInPb", "functional": "PBE", "state": "optimized geometry", "lattice_angstrom": [[-3.5704, -3.6188, 2.2799], [0.2660, -1.1166, 5.4520], [-4.0093, 1.8182, 3.4148]], "species": ["In", "Pb", "Eu", "Tl"], "fractional_positions": [[0.5000, 0.5000, 0.5000], [0.7500, 0.7500, 0.7500], [0.2500, 0.2500, 0.2500], [0.0000, 0.0000, 0.0000]], "e_form_mev_per_atom": -269, "sg": "F-43m"}